Rh2WN2, relaxed, DFT GGA-PBE; energy relative to the lowest polymorph listed for this composition = 5.472 eV per formula unit; DOS at the Fermi energy = 0.944 states/eV/atom; final energy = -7.7176 eV per atom; ρ = 11.5 Mg/m³; total moment = 0.00 μB per cell; E_form (uncorrected) = 1.144 eV/atom
1.0
-1.9955 1.9955 3.8012
1.9955 -1.9955 3.8012
1.9955 1.9955 -3.8012
Rh W N
2 1 2
direct
0.2500 0.7500 0.5000
0.7500 0.2500 0.5000
0.0000 0.0000 0.0000
0.4172 0.4172 0.0000
0.5828 0.5828 0.0000